No. 1
The following is a GGA-PBE calculation of an optimized crystal structure of YW3, from Alexandria via LeMat-Bulk.

Calculated values
- calculated formation energy (eV/atom) = 0.761
- DOS(E_F) (states/eV per atom) = 0.76
- energy above the most stable polymorph in this dataset (meV/atom) = 374

Cell lengths 5.3084, 5.3084, 5.3084 Å; angles 90.00, 90.00, 90.00 degrees
Space group Pm-3n (No. 223)
Inequivalent atoms, fractional coordinates:
Y1 0.0000 0.0000 0.0000 [2 per cell]
W1 0.0000 0.2500 0.5000 [6 per cell]


No. 2
The following is a GGA-PBE calculation of an optimized crystal structure of AgTeSeCl, from Alexandria via LeMat-Bulk.

Calculated values
- DOS(E_F) (states/eV per atom) = 0.23
- formation energy (no corrections) (eV per formula unit) = -0.45

Cell lengths 8.4723, 3.8226, 7.9438 Å; angles 90.00, 110.92, 90.00 degrees
Space group Cm (No. 8)
Inequivalent atoms, fractional coordinates:
Ag1 0.0000 0.0000 0.0000 [2 per cell]
Te1 0.4147 0.0000 0.5148 [2 per cell]
Se1 0.1003 0.0000 0.3666 [2 per cell]
Cl1 0.2668 0.0000 0.9164 [2 per cell]


No. 3
The following is a GGA-PBE calculation of an optimized crystal structure of Pu3CdPd6, from Alexandria via LeMat-Bulk.

Calculated values
- calculated formation energy (eV/atom) = -0.336
- DOS(E_F) (states/eV per atom) = 3.00

Cell lengths 6.9896, 15.3267, 7.3966 Å; angles 90.00, 90.00, 90.00 degrees
Space group Cmc2_1 (No. 36)
Inequivalent atoms, fractional coordinates:
Pu1 0.0000 0.0300 0.0000 [4 per cell]
Pu2 0.2199 0.3695 0.8577 [8 per cell]
Cd1 0.0000 0.2902 0.2516 [4 per cell]
Pd1 0.0000 0.1918 0.6369 [4 per cell]
Pd2 0.0000 0.4320 0.5421 [4 per cell]
Pd3 0.1985 0.1937 0.9912 [8 per cell]
Pd4 0.2115 0.4431 0.2202 [8 per cell]